[1]
Below is a geometry-optimized La2ZnHg2 structure, with properties calculated at the PBE-GGA level.

```
La2ZnHg2
1.0
-3.091 3.091 4.105
3.091 -3.091 4.105
3.091 3.091 -4.105
La Zn Hg
2 1 2
direct
0.250 0.750 0.500
0.750 0.250 0.500
0.000 0.000 0.000
0.335 0.335 0.000
0.665 0.665 0.000
```

- Formation energy: -87 meV/atom
- Density of states at the Fermi level: 5.5 states/eV per cell
- Total magnetization: 0.00 μB/f.u.

[2]
Below is a geometry-optimized K2UO3F3 structure, with properties calculated at the PBE-GGA level.

```
K2UO3F3
1.0
6.765 0.000 0.000
-3.383 5.859 0.000
0.000 0.000 3.417
K U O F
2 1 3 3
direct
0.333 0.667 0.000
0.667 0.333 0.000
0.000 0.000 0.500
0.000 0.207 0.000
0.207 0.000 0.000
0.793 0.793 0.000
0.000 0.654 0.500
0.346 0.346 0.500
0.654 0.000 0.500
```

- Raw formation energy: -2.59 eV per atom
- Density of states at the Fermi level: 1.9 states/eV per cell
- Total magnetization: 1.01 μB/f.u.

[3]
Below is a geometry-optimized IrOsCl2 structure, with properties calculated at the PBE-GGA level.

```
IrOsCl2
1.0
1.400 -2.631 0.000
1.400 2.631 0.000
0.000 0.000 8.590
Ir Os Cl
1 1 2
direct
0.000 0.000 0.000
0.000 0.000 0.500
0.500 0.500 0.266
0.500 0.500 0.734
```

- Raw formation energy: 1.00 eV per atom
- Density of states at the Fermi level: 4.4 states/eV per cell
- Total magnetization: 0.00 μB/f.u.

[4]
Below is a geometry-optimized Y2AsH2 structure, with properties calculated at the PBE-GGA level.

```
Y2AsH2
1.0
0.000 4.782 4.816
3.623 0.000 4.816
3.623 4.782 0.000
Y As H
4 2 4
direct
0.085 0.085 0.665
0.335 0.335 0.915
0.665 0.665 0.085
0.915 0.915 0.335
0.375 0.375 0.375
0.625 0.625 0.625
0.004 0.246 0.004
0.246 0.004 0.246
0.754 0.996 0.754
0.996 0.754 0.996
```

- E_tot: -5.73 eV/atom
- Density of states at the Fermi level: 5.2 states/eV per cell
- Total magnetization: 0.00 μB/f.u.

[5]
Below is a geometry-optimized SnIr2F structure, with properties calculated at the PBE-GGA level.

```
SnIr2F
1.0
0.000 3.122 3.122
3.122 0.000 3.122
3.122 3.122 0.000
Sn Ir F
1 2 1
direct
0.000 0.000 0.000
0.250 0.250 0.250
0.750 0.750 0.750
0.500 0.500 0.500
```

- Raw formation energy: 0.09 eV per atom
- Density of states at the Fermi level: 2.4 states/eV per cell
- Total magnetization: 0.00 μB/f.u.

[6]
Below is a geometry-optimized AcLaCuNi structure, with properties calculated at the PBE-GGA level.

```
AcLaCuNi
1.0
0.000 3.670 3.670
3.670 0.000 3.670
3.670 3.670 0.000
Ac La Cu Ni
1 1 1 1
direct
0.000 0.000 0.000
0.500 0.500 0.500
0.750 0.750 0.750
0.250 0.250 0.250
```

- Formation energy: -132 meV/atom
- Density of states at the Fermi level: 4.4 states/eV per cell
- Total magnetization: 0.00 μB/f.u.

[7]
Below is a geometry-optimized TbGdGe4 structure, with properties calculated at the PBE-GGA level.

```
TbGdGe4
1.0
0.000 3.993 3.993
3.993 0.000 3.993
3.993 3.993 0.000
Tb Gd Ge
1 1 4
direct
0.000 0.000 0.000
0.750 0.750 0.750
0.375 0.375 0.375
0.375 0.375 0.876
0.375 0.876 0.375
0.876 0.375 0.375
```

- Formation energy: -347 meV/atom
- Density of states at the Fermi level: 6.5 states/eV per cell
- Total magnetization: 7.85 μB/f.u.

[8]
Below is a geometry-optimized PmHfNi2 structure, with properties calculated at the PBE-GGA level.

```
PmHfNi2
1.0
0.000 3.320 3.320
3.320 0.000 3.320
3.320 3.320 0.000
Pm Hf Ni
1 1 2
direct
0.000 0.000 0.000
0.500 0.500 0.500
0.250 0.250 0.250
0.750 0.750 0.750
```

- Formation energy: -219 meV/atom
- Density of states at the Fermi level: 3.1 states/eV per cell
- Total magnetization: 0.00 μB/f.u.

[9]
Below is a geometry-optimized Sr3CdHg4 structure, with properties calculated at the PBE-GGA level.

```
Sr3CdHg4
1.0
2.755 1.591 9.156
-2.755 1.591 9.156
0.000 -3.181 9.156
Sr Cd Hg
3 1 4
direct
0.000 0.000 0.000
0.242 0.242 0.242
0.758 0.758 0.758
0.500 0.500 0.500
0.123 0.123 0.123
0.373 0.373 0.373
0.627 0.627 0.627
0.877 0.877 0.877
```

- Formation energy: -440 meV/atom
- Density of states at the Fermi level: 4.4 states/eV per cell
- Total magnetization: 0.00 μB/f.u.

[10]
Below is a geometry-optimized Li3HF2 structure, with properties calculated at the PBE-GGA level.

```
Li3HF2
1.0
3.093 0.000 0.000
-1.546 2.678 0.000
0.000 0.000 7.589
Li H F
3 1 2
direct
0.000 0.000 0.000
0.333 0.667 0.664
0.667 0.333 0.332
0.333 0.667 0.415
0.000 0.000 0.749
0.667 0.333 0.083
```

- E_tot: -4.21 eV/atom
- Density of states at the Fermi level: 0.0 states/eV per cell
- Total magnetization: 0.00 μB/f.u.

[11]
Below is a geometry-optimized Ba2Al9Ir3 structure, with properties calculated at the PBE-GGA level.

```
Ba2Al9Ir3
1.0
6.749 -3.851 0.000
6.749 3.851 0.000
-4.595 0.000 10.183
Ba Al Ir
4 18 6
direct
0.085 0.254 0.248
0.254 0.085 0.748
0.746 0.915 0.252
0.915 0.746 0.752
0.026 0.850 0.066
0.150 0.974 0.434
0.194 0.355 0.559
0.217 0.585 0.252
0.323 0.489 0.963
0.355 0.194 0.059
0.379 0.621 0.750
0.415 0.783 0.248
0.489 0.323 0.463
0.511 0.677 0.537
0.585 0.217 0.752
0.621 0.379 0.250
0.645 0.806 0.941
0.677 0.511 0.037
0.783 0.415 0.748
0.806 0.645 0.441
0.850 0.026 0.566
0.974 0.150 0.934
0.000 0.500 0.000
0.164 0.668 0.500
0.332 0.836 0.000
0.500 0.000 0.500
0.668 0.164 0.000
0.836 0.332 0.500
```

- Formation energy: -557 meV/atom
- Density of states at the Fermi level: 13.2 states/eV per cell
- Total magnetization: 0.00 μB/f.u.

[12]
Below is a geometry-optimized Rb2Ga2As3 structure, with properties calculated at the PBE-GGA level.

```
Rb2Ga2As3
1.0
7.305 -1.953 0.000
7.305 1.953 0.000
-5.179 0.000 7.500
Rb Ga As
2 2 3
direct
0.068 0.068 0.361
0.932 0.932 0.639
0.313 0.313 0.948
0.687 0.687 0.052
0.310 0.310 0.228
0.500 0.500 0.000
0.690 0.690 0.772
```

- Formation energy: -321 meV/atom
- Density of states at the Fermi level: 4.1 states/eV per cell
- Total magnetization: 0.00 μB/f.u.

Repeat the fourth record exactly.
Below is a geometry-optimized Y2AsH2 structure, with properties calculated at the PBE-GGA level.

```
Y2AsH2
1.0
0.000 4.782 4.816
3.623 0.000 4.816
3.623 4.782 0.000
Y As H
4 2 4
direct
0.085 0.085 0.665
0.335 0.335 0.915
0.665 0.665 0.085
0.915 0.915 0.335
0.375 0.375 0.375
0.625 0.625 0.625
0.004 0.246 0.004
0.246 0.004 0.246
0.754 0.996 0.754
0.996 0.754 0.996
```

- E_tot: -5.73 eV/atom
- Density of states at the Fermi level: 5.2 states/eV per cell
- Total magnetization: 0.00 μB/f.u.